La2ScGaPd6: optimized geometry, GGA-PBE.

* calculated total energy: -56.68 eV for the cell shown
* calculated density: 7.4 g/cm³

a b c (Å): 5.7666 5.7666 8.6829
angles (deg): 109.38 109.38 59.99
Closest atoms and distances in Å follow each position.
Sites, in units of the cell vectors:
La  0.2162  0.2162  0.1494  6 Pd 2.96
La  0.7838  0.7838  0.8506  6 Pd 2.96
Sc  0.0000  0.0000  0.5000  6 Pd 2.69
Ga  0.5000  0.5000  0.0000  6 Pd 2.52
Pd  0.2417  0.7457  0.2346  1 Ga 2.52, 1 Sc 2.69
Pd  0.2541  0.2541  0.7647  1 Ga 2.52, 1 Sc 2.69
Pd  0.2543  0.7583  0.7654  1 Ga 2.52, 1 Sc 2.69
Pd  0.7457  0.2417  0.2346  1 Ga 2.52, 1 Sc 2.69
Pd  0.7459  0.7459  0.2353  1 Ga 2.52, 1 Sc 2.69
Pd  0.7583  0.2543  0.7654  1 Ga 2.52, 1 Sc 2.69

=====

KMn2Re: optimized geometry, GGA-PBE.

* polymorph energy (0 for the lowest one): 0.917 eV per atom
* calculated total energy: -25.54 eV for the cell shown
* calculated density: 8.1 g/cm³

a b c (Å): 4.6051 4.6051 4.6051
angles (deg): 60.00 60.00 60.00
Closest atoms and distances in Å follow each position.
Sites, in units of the cell vectors:
K  0.0000  0.0000  0.0000  4 Mn 2.82, 4 Re 2.82
Mn  0.5000  0.5000  0.5000  4 Mn 2.82, 4 Re 2.82
Mn  0.7500  0.7500  0.7500  4 Mn 2.82, 4 K 2.82
Re  0.2500  0.2500  0.2500  4 Mn 2.82, 4 K 2.82

=====

Ca3TaSi: optimized geometry, GGA-PBE.

* polymorph energy (0 for the lowest one): 0.476 eV per atom
* calculated total energy: -16.81 eV for the cell shown
* calculated density: 3.3 g/cm³
* E_form (uncorrected): 1.294 eV/atom

a b c (Å): 5.5175 5.5175 5.5175
angles (deg): 90.00 90.00 90.00
Closest atoms and distances in Å follow each position.
Sites, in units of the cell vectors:
Ca  0.0000  0.0000  0.5000  2 Ta 2.76
Ca  0.0000  0.5000  0.0000  2 Ta 2.76
Ca  0.5000  0.0000  0.0000  2 Ta 2.76
Ta  0.0000  0.0000  0.0000  6 Ca 2.76
Si  0.5000  0.5000  0.5000  12 Ca 3.90

=====

Al3SiRu: optimized geometry, GGA-PBE.

* polymorph energy (0 for the lowest one): 0.000 eV per atom
* calculated total energy: -24.25 eV for the cell shown
* calculated density: 3.4 g/cm³
* E_form (uncorrected): 0.336 eV/atom

a b c (Å): 4.6722 4.6722 4.6722
angles (deg): 90.00 90.00 90.00
Closest atoms and distances in Å follow each position.
Sites, in units of the cell vectors:
Al  0.0000  0.0000  0.5000  2 Ru 2.34
Al  0.0000  0.5000  0.0000  2 Ru 2.34
Al  0.5000  0.0000  0.0000  2 Ru 2.34
Si  0.5000  0.5000  0.5000  12 Al 3.30
Ru  0.0000  0.0000  0.0000  6 Al 2.34

=====

GaSb2Au3: optimized geometry, GGA-PBE.

* calculated total energy: -21.50 eV for the cell shown
* calculated density: 10.8 g/cm³
* E_form (uncorrected): -0.067 eV/atom

a b c (Å): 9.3542 9.3516 3.9385
angles (deg): 77.88 77.81 24.31
Closest atoms and distances in Å follow each position.
Sites, in units of the cell vectors:
Ga  0.0000  0.0000  0.0000  4 Au 2.78-2.79
Sb  0.3465  0.3465  0.6535  6 Au 2.74-3.03
Sb  0.6535  0.6535  0.3465  6 Au 2.74-3.03
Au  0.1766  0.1766  0.8234  5 Sb 2.81-3.03
Au  0.5000  0.5000  0.5000  2 Sb 2.74, 4 Ga 2.78-2.79
Au  0.8234  0.8234  0.1766  5 Sb 2.81-3.03

=====

La5Tb4Ga4: optimized geometry, GGA-PBE.

* calculated total energy: -60.07 eV for the cell shown
* calculated density: 7.0 g/cm³

a b c (Å): 9.0869 9.0869 9.0869
angles (deg): 94.33 94.33 148.10
Closest atoms and distances in Å follow each position.
Sites, in units of the cell vectors:
La  0.0000  0.0000  0.0000  4 Ga 3.20
La  0.3069  0.6134  0.9204  3 Ga 3.18-3.20, 2 Tb 3.52
La  0.3866  0.3069  0.6935  3 Ga 3.18-3.20, 2 Tb 3.52
La  0.6134  0.6931  0.3065  3 Ga 3.18-3.20, 2 Tb 3.52
La  0.6931  0.3866  0.0796  3 Ga 3.18-3.20, 2 Tb 3.52
Tb  0.0943  0.3925  0.4868  3 Ga 2.99-3.22
Tb  0.3925  0.9057  0.2982  3 Ga 2.99-3.22
Tb  0.6075  0.0943  0.7018  3 Ga 2.99-3.22
Tb  0.9057  0.6075  0.5132  3 Ga 2.99-3.22
Ga  0.0943  0.7589  0.8532  3 Tb 2.99-3.22, 4 La 3.18-3.20
Ga  0.2411  0.0943  0.3354  3 Tb 2.99-3.22, 4 La 3.18-3.20
Ga  0.7589  0.9057  0.6646  3 Tb 2.99-3.22, 4 La 3.18-3.20
Ga  0.9057  0.2411  0.1468  3 Tb 2.99-3.22, 4 La 3.18-3.20

=====

Rb2Sr2Se: optimized geometry, GGA-PBE.

* calculated total energy: -22.78 eV for the cell shown
* calculated density: 2.4 g/cm³
* E_form (uncorrected): -0.521 eV/atom

a b c (Å): 8.3991 8.3991 8.2029
angles (deg): 90.00 90.00 90.00
Closest atoms and distances in Å follow each position.
Sites, in units of the cell vectors:
Rb  0.1752  0.3248  0.0000  5 Rb 4.16-4.38, 2 Sr 4.42
Rb  0.3248  0.8248  0.0000  5 Rb 4.16-4.38, 2 Sr 4.42
Rb  0.6752  0.1752  0.0000  5 Rb 4.16-4.38, 2 Sr 4.42
Rb  0.8248  0.6752  0.0000  5 Rb 4.16-4.38, 2 Sr 4.42
Sr  0.1851  0.6851  0.5000  2 Se 3.07
Sr  0.3149  0.1851  0.5000  2 Se 3.07
Sr  0.6851  0.8149  0.5000  2 Se 3.07
Sr  0.8149  0.3149  0.5000  2 Se 3.07
Se  0.0000  0.0000  0.5000  4 Sr 3.07
Se  0.5000  0.5000  0.5000  4 Sr 3.07

=====

Tb2DyH8: optimized geometry, GGA-PBE.

* calculated total energy: -47.58 eV for the cell shown
* calculated density: 7.9 g/cm³

a b c (Å): 6.3292 6.3292 6.3292
angles (deg): 146.41 132.01 59.85
Closest atoms and distances in Å follow each position.
Sites, in units of the cell vectors:
Tb  0.1684  0.1684  0.0000  8 H 2.20-2.31
Tb  0.8316  0.8316  0.0000  8 H 2.20-2.31
Dy  0.5000  0.5000  0.0000  8 H 2.21-2.29
H  0.0803  0.3397  0.7406  1 Dy 2.21, 3 Tb 2.21-2.31, 3 H 2.26-2.34
H  0.2323  0.0000  0.2323  2 Tb 2.20, 3 H 2.22-2.39, 2 Dy 2.29
H  0.3410  0.8410  0.5000  8 H 2.22-2.34
H  0.4009  0.6603  0.7406  1 Dy 2.21, 3 Tb 2.21-2.31, 3 H 2.26-2.34
H  0.5991  0.3397  0.2594  1 Dy 2.21, 3 Tb 2.21-2.31, 3 H 2.26-2.34
H  0.6590  0.1590  0.5000  8 H 2.22-2.34
H  0.7677  0.0000  0.7677  2 Tb 2.20, 3 H 2.22-2.39, 2 Dy 2.29
H  0.9197  0.6603  0.2594  1 Dy 2.21, 3 Tb 2.21-2.31, 3 H 2.26-2.34